## CsLaAl2Pd (PBE)

Data for a geometry-optimized CsLaAl2Pd structure.

abc: 5.040 5.663 5.040
angles: 90.00 90.00 90.00
Element x y z (fractional)
Al: 0.000 0.000 0.500
Al: 0.500 0.000 0.000
Pd: 0.000 0.000 0.000
Cs: 0.500 0.500 0.500
La: 0.000 0.500 0.000

Values from the calculation:
SG = P4/mmm
crystal system = tetragonal
energy = -18.61 eV per cell

=====

## CsLaAl2Ru (PBE)

Data for a geometry-optimized CsLaAl2Ru structure.

abc: 5.708 6.314 5.708
angles: 90.00 90.00 90.00
Element x y z (fractional)
Al: 0.000 0.000 0.500
Al: 0.500 0.000 0.000
Cs: 0.000 0.500 0.000
Ru: 0.500 0.500 0.500
La: 0.000 0.000 0.000

Values from the calculation:
SG = P4/mmm
crystal system = tetragonal
energy = -13.30 eV per cell

=====

## Cs3La3AlS8 (PBE)

Data for a geometry-optimized Cs3La3AlS8 structure.

abc: 8.366 8.371 9.507
angles: 116.17 90.00 119.98
Element x y z (fractional)
S: 0.763 0.966 0.668
S: 0.237 0.034 0.332
S: 0.798 0.034 0.332
S: 0.798 0.595 0.332
S: 0.271 0.541 0.312
S: 0.202 0.966 0.668
S: 0.202 0.405 0.668
S: 0.729 0.459 0.688
La: 0.500 0.000 0.500
La: 0.500 0.500 0.500
La: 0.000 0.500 0.500
Al: 0.000 0.000 0.500
Cs: 0.000 0.500 0.000
Cs: 0.000 0.000 0.000
Cs: 0.500 0.500 0.000

Values from the calculation:
SG = C2/m
uncorrected formation energy = -1548 meV per atom
crystal system = monoclinic

=====

## Cs2LaAlS4 (PBE)

Data for a geometry-optimized Cs2LaAlS4 structure.

abc: 8.240 8.240 8.591
angles: 107.30 107.30 92.32
Element x y z (fractional)
Cs: 0.000 0.000 0.500
Cs: 0.500 0.000 0.500
Cs: 0.500 0.000 0.000
Cs: 0.500 0.500 0.000
S: 0.152 0.182 0.928
S: 0.758 0.372 0.645
S: 0.682 0.652 0.428
S: 0.128 0.742 0.855
S: 0.318 0.348 0.572
S: 0.848 0.818 0.072
S: 0.872 0.258 0.145
S: 0.242 0.628 0.355
La: 0.000 0.500 0.500
La: 0.000 0.500 0.000
Al: 0.000 0.000 0.000
Al: 0.500 0.500 0.500

Values from the calculation:
SG = C2/c
uncorrected formation energy = -1273 meV per atom
crystal system = monoclinic

=====

## Cs4La3AlS8 (PBE)

Data for a geometry-optimized Cs4La3AlS8 structure.

abc: 8.412 9.412 8.415
angles: 116.57 119.99 90.00
Element x y z (fractional)
La: 0.500 0.500 0.500
La: 0.500 0.500 0.000
La: 0.000 0.500 0.500
S: 0.791 0.324 0.033
S: 0.759 0.676 0.967
S: 0.210 0.677 0.419
S: 0.270 0.309 0.540
S: 0.241 0.324 0.033
S: 0.209 0.676 0.967
S: 0.790 0.323 0.581
S: 0.730 0.691 0.460
Al: 0.000 0.500 0.000
Cs: 0.500 0.000 0.000
Cs: 0.500 0.000 0.500
Cs: 0.000 0.000 0.000
Cs: 0.000 0.000 0.500

Values from the calculation:
SG = C2/m
uncorrected formation energy = -1605 meV per atom
crystal system = monoclinic

=====

## CsLaAlS3 (PBE)

Data for a geometry-optimized CsLaAlS3 structure.

abc: 4.687 8.222 9.386
angles: 102.68 90.00 106.56
Element x y z (fractional)
S: 0.506 0.013 0.297
S: 0.853 0.706 0.233
S: 0.837 0.674 0.631
S: 0.147 0.294 0.767
S: 0.163 0.326 0.369
S: 0.494 0.987 0.703
La: 0.354 0.708 0.436
La: 0.646 0.292 0.564
Al: 0.002 0.004 0.356
Al: 0.998 0.996 0.644
Cs: 0.359 0.719 0.942
Cs: 0.641 0.281 0.058

Values from the calculation:
SG = C2/m
uncorrected formation energy = -1496 meV per atom
crystal system = monoclinic

=====

## CsLaScAl2 (PBE)

Data for a geometry-optimized CsLaScAl2 structure.

abc: 5.633 5.216 5.633
angles: 90.00 90.00 90.00
Element x y z (fractional)
Al: 0.000 0.000 0.500
Al: 0.500 0.000 0.000
Sc: 0.000 0.500 0.000
Cs: 0.000 0.000 0.000
La: 0.500 0.500 0.500

Values from the calculation:
SG = P4/mmm
crystal system = tetragonal
energy = -13.35 eV per cell

=====

## CsLaAlSe4 (PBE)

Data for a geometry-optimized CsLaAlSe4 structure.

abc: 7.441 6.121 10.349
angles: 90.00 104.60 90.00
Element x y z (fractional)
Al: 0.745 0.250 0.667
Al: 0.255 0.750 0.333
Se: 0.405 0.750 0.566
Se: 0.549 0.250 0.811
Se: 0.000 0.512 0.704
Se: 0.000 0.488 0.296
Se: 0.000 0.012 0.296
Se: 0.451 0.750 0.189
Se: 0.000 0.988 0.704
Se: 0.595 0.250 0.434
Cs: 0.251 0.250 0.042
Cs: 0.749 0.750 0.958
La: 0.747 0.750 0.447
La: 0.253 0.250 0.553

Values from the calculation:
SG = P2_1/m
uncorrected formation energy = -1370 meV per atom
crystal system = monoclinic

=====

## Cs2LaAlSe4 (PBE)

Data for a geometry-optimized Cs2LaAlSe4 structure.

abc: 9.014 9.014 9.316
angles: 121.01 121.01 90.24
Element x y z (fractional)
Cs: 0.500 0.000 0.500
Cs: 0.000 0.000 0.500
Cs: 0.500 0.000 0.000
Cs: 0.500 0.500 0.000
Se: 0.241 0.265 0.440
Se: 0.759 0.735 0.560
Se: 0.745 0.316 0.531
Se: 0.816 0.245 0.031
Se: 0.235 0.259 0.060
Se: 0.765 0.741 0.940
Se: 0.184 0.755 0.969
Se: 0.255 0.684 0.469
La: 0.000 0.500 0.000
La: 0.000 0.500 0.500
Al: 0.500 0.500 0.500
Al: 0.000 0.000 0.000

Values from the calculation:
SG = C2/c
uncorrected formation energy = -1188 meV per atom
crystal system = monoclinic

=====

## CsLiAl2 (PBE)

Data for a geometry-optimized CsLiAl2 structure.

abc: 5.529 5.529 5.529
angles: 60.00 60.00 60.00
Element x y z (fractional)
Al: 0.750 0.750 0.750
Al: 0.250 0.250 0.250
Li: 0.000 0.000 0.000
Cs: 0.500 0.500 0.500

Values from the calculation:
SG = Fm-3m
crystal system = cubic
energy = -7.69 eV per cell

=====

## CsLi2MgAl (PBE)

Data for a geometry-optimized CsLi2MgAl structure.

abc: 5.577 5.322 5.577
angles: 90.00 90.00 90.00
Element x y z (fractional)
Al: 0.000 0.000 0.000
Cs: 0.500 0.500 0.500
Li: 0.500 0.000 0.000
Li: 0.000 0.000 0.500
Mg: 0.000 0.500 0.000

Values from the calculation:
SG = P4/mmm
crystal system = tetragonal
energy = -9.29 eV per cell

=====

## CsLi2AlMo (PBE)

Data for a geometry-optimized CsLi2AlMo structure.

abc: 5.658 5.087 5.658
angles: 90.00 90.00 90.00
Element x y z (fractional)
Li: 0.000 0.000 0.500
Li: 0.500 0.000 0.000
Mo: 0.000 0.000 0.000
Al: 0.000 0.500 0.000
Cs: 0.500 0.500 0.500

Values from the calculation:
SG = P4/mmm
crystal system = tetragonal
energy = -14.98 eV per cell